No. 1
The following is a PBE-GGA calculation of Ta2BiTe after structural relaxation, from the Alexandria database.

As for the uncorrected formation energy: 0.781 eV per atom. Its energy above the most stable polymorph in this dataset is 0.366 eV per atom. The density of states at the Fermi level is 14.04 states/eV/cell. The value obtained for the volume is 380.3 Å³/cell.

The space group is I-42d (No. 122) and the conventional cell measures 4.3685, 4.3685 and 19.9281 Å, with angles of 90.00, 90.00 and 90.00 degrees. Symmetry generates all atoms from Ta at (0.2280, 0.2500, 0.1250), Bi at (0.0000, 0.0000, 0.5000) and Te at (0.0000, 0.0000, 0.0000).


No. 2
The following is a PBE-GGA calculation of TaBi2Te after structural relaxation, from the Alexandria database.

As for the uncorrected formation energy: 0.879 eV per atom. The density of states at the Fermi level is 26.37 states/eV/cell. The value obtained for the volume is 636.4 Å³/cell.

The space group is I-42d (No. 122) and the conventional cell measures 6.8562, 6.8562 and 13.5381 Å, with angles of 90.00, 90.00 and 90.00 degrees. Symmetry generates all atoms from Ta at (0.0000, 0.0000, 0.0000), Bi at (0.1962, 0.2500, 0.1250) and Te at (0.0000, 0.0000, 0.5000).


No. 3
The following is a PBE-GGA calculation of TaTiBi2 after structural relaxation, from the Alexandria database.

Its energy above the most stable polymorph in this dataset is 0.000 eV per atom. The density of states at the Fermi level is 13.69 states/eV/cell. Its formation enthalpy at 0 K is 0.304 eV/atom. The value obtained for the volume is 347.5 Å³/cell.

The space group is Fm-3m (No. 225) and the conventional cell measures 7.0305, 7.0305 and 7.0305 Å, with angles of 90.00, 90.00 and 90.00 degrees. Symmetry generates all atoms from Ta at (0.0000, 0.0000, 0.0000), Ti at (0.0000, 0.0000, 0.5000) and Bi at (0.2500, 0.2500, 0.2500).


No. 4
The following is a PBE-GGA calculation of TaTiBi after structural relaxation, from the Alexandria database.

Its energy above the most stable polymorph in this dataset is 0.332 eV per atom. The density of states at the Fermi level is 12.57 states/eV/cell. Its formation enthalpy at 0 K is 0.236 eV/atom. The value obtained for the volume is 270.9 Å³/cell.

The space group is C2/m (No. 12) and the conventional cell measures 11.0296, 3.4133 and 7.6580 Å, with angles of 90.00, 110.00 and 90.00 degrees. Symmetry generates all atoms from Ta at (0.1520, 0.0000, 0.4865), Ti at (0.1341, 0.5000, 0.1809) and Bi at (0.0961, 0.0000, 0.8405).


No. 5
The following is a PBE-GGA calculation of TaTiBi2 after structural relaxation, from the Alexandria database.

Its energy above the most stable polymorph in this dataset is 0.245 eV per atom. The density of states at the Fermi level is 12.78 states/eV/cell. Its formation enthalpy at 0 K is 0.548 eV/atom. The value obtained for the volume is 284.4 Å³/cell.

The space group is R-3m (No. 166, hexagonal axes) and the conventional cell measures 3.2299, 3.2299 and 31.4753 Å, with angles of 90.00, 90.00 and 120.00 degrees. Symmetry generates all atoms from Ta at (0.0000, 0.0000, 0.0000), Ti at (0.0000, 0.0000, 0.5000) and Bi at (0.0000, 0.0000, 0.0936).


No. 6
The following is a PBE-GGA calculation of TaTiBi after structural relaxation, from the Alexandria database.

Its energy above the most stable polymorph in this dataset is 0.000 eV per atom. The density of states at the Fermi level is 5.82 states/eV/cell. Its formation enthalpy at 0 K is -0.096 eV/atom. The value obtained for the volume is 138.3 Å³/cell.

The space group is P-1 (No. 2) and the conventional cell measures 3.4001, 3.4081 and 12.0379 Å, with angles of 89.89, 82.42 and 90.00 degrees. Symmetry generates all atoms from Ta at (0.2190, 0.2496, 0.0655), Ti at (0.3396, 0.2514, 0.8095) and Bi at (0.0867, 0.2475, 0.3472).


Question: Number 5 is which compound?
Answer: TaTiBi2